SrPr3P, optimized geometry, DFT PBE-GGA; energy relative to the elements = -2.11 eV per formula unit
1.0
5.744 0.000 0.000
0.000 5.744 0.000
0.000 0.000 5.744
Sr Pr P
1 3 1
Direct
0.000 0.000 0.000
0.000 0.500 0.500
0.500 0.000 0.500
0.500 0.500 0.000
0.500 0.500 0.500